Entry 1:
! FeOs2Au (SCAN, PBEsol geometry); values from VASP
&SYSTEM
  ibrav = 0, nat = 4, ntyp = 3
/
ATOMIC_SPECIES
Au 196.97 Au.upf
Fe 55.84 Fe.upf
Os 190.23 Os.upf
CELL_PARAMETERS angstrom
-0.7334 2.1887 -1.4508
-2.6055 -0.7940 0.1194
-0.9169 3.9814 6.4697
ATOMIC_POSITIONS angstrom
Au -0.4679 2.0319 3.3019
Fe -2.3652 3.7184 4.2434
Os -1.8799 1.6113 0.8194
Os -0.0012 0.0051 0.0084
! * total DFT energy (no corrections): -57.547 eV/atom
! * relative energy among the computed polymorphs: 0.0000 eV per atom


Entry 2:
! FeOsAu (SCAN, PBEsol geometry); values from VASP
&SYSTEM
  ibrav = 0, nat = 3, ntyp = 3
/
ATOMIC_SPECIES
Os 190.23 Os.upf
Au 196.97 Au.upf
Fe 55.84 Fe.upf
CELL_PARAMETERS angstrom
4.1604 0.0000 0.0000
2.0802 3.6030 0.0000
2.0802 1.2010 3.3969
ATOMIC_POSITIONS angstrom
Os 4.1604 2.4020 1.6985
Au 2.0802 1.2010 0.8492
Fe 0.0000 0.0000 0.0000
! * total DFT energy (no corrections): -51.914 eV/atom
! * relative energy among the computed polymorphs: 0.8083 eV per atom


Entry 3:
! FePAu3 (SCAN, PBEsol geometry); values from VASP
&SYSTEM
  ibrav = 0, nat = 5, ntyp = 3
/
ATOMIC_SPECIES
Fe 55.84 Fe.upf
P 30.97 P.upf
Au 196.97 Au.upf
CELL_PARAMETERS angstrom
-2.3061 -3.9238 -0.5951
2.5503 -0.9378 -3.6994
3.0408 -2.1893 2.6512
ATOMIC_POSITIONS angstrom
Fe 1.6425 -3.5254 -0.8216
P 0.0000 0.0000 0.0000
Au 1.2751 -0.4689 -1.8497
Au 1.5204 -1.0946 1.3256
Au -1.1531 -1.9619 -0.2976
! * total DFT energy (no corrections): -46.585 eV/atom


Entry 4:
! FeP3Au (SCAN, PBEsol geometry); values from VASP
&SYSTEM
  ibrav = 0, nat = 5, ntyp = 3
/
ATOMIC_SPECIES
P 30.97 P.upf
Au 196.97 Au.upf
Fe 55.84 Fe.upf
CELL_PARAMETERS angstrom
4.2929 0.0000 0.0000
0.0000 4.2929 0.0000
0.0000 0.0000 4.2929
ATOMIC_POSITIONS angstrom
P 0.0000 0.0000 2.1465
P 0.0000 2.1465 0.0000
P 2.1465 0.0000 0.0000
Au 2.1465 2.1465 2.1465
Fe 0.0000 0.0000 0.0000
! * total DFT energy (no corrections): -22.999 eV/atom
! * relative energy among the computed polymorphs: 0.0000 eV per atom


Entry 5:
! FeP2Au (SCAN, PBEsol geometry); values from VASP
&SYSTEM
  ibrav = 0, nat = 4, ntyp = 3
/
ATOMIC_SPECIES
Au 196.97 Au.upf
Fe 55.84 Fe.upf
P 30.97 P.upf
CELL_PARAMETERS angstrom
2.7091 0.0000 0.0000
0.0000 2.7091 0.0000
0.0000 0.0000 7.6782
ATOMIC_POSITIONS angstrom
Au 1.3546 1.3546 0.0000
Fe 1.3546 1.3546 3.8391
P 0.0000 0.0000 5.2118
P 0.0000 0.0000 2.4663
! * total DFT energy (no corrections): -26.814 eV/atom
! * relative energy among the computed polymorphs: 0.2863 eV per atom


Entry 6:
! FeP2Au (SCAN, PBEsol geometry); values from VASP
&SYSTEM
  ibrav = 0, nat = 4, ntyp = 3
/
ATOMIC_SPECIES
P 30.97 P.upf
Fe 55.84 Fe.upf
Au 196.97 Au.upf
CELL_PARAMETERS angstrom
-1.0167 1.4047 -2.0888
0.6107 -2.1476 -1.7415
-6.6352 -2.9157 1.2689
ATOMIC_POSITIONS angstrom
P -1.2127 -0.5329 0.2319
P -4.9103 -3.3657 0.1267
Fe -0.3546 -0.4381 -1.8861
Au -3.3728 -1.4821 0.6450
! * total DFT energy (no corrections): -27.100 eV/atom
! * relative energy among the computed polymorphs: 0.0000 eV per atom